[1]
Density functional theory data (PBE) for a relaxed structure of ScPd2Ru.

POSCAR file:
```
ScPd2Ru
1.0
0.000 3.198 3.198
3.198 0.000 3.198
3.198 3.198 0.000
Sc Pd Ru
1 2 1
direct
0.000 0.000 0.000 Sc
0.250 0.250 0.250 Pd
0.750 0.750 0.750 Pd
0.500 0.500 0.500 Ru
```

Values from the calculation:
As for the magnetization: 0.297 μB/atom. Its density is 9.11 Mg/m³. For the energy above the lowest structure with this stoichiometry, the calculation gives 200 meV per atom. The density of states at the Fermi level comes out at 7.75 states/eV/cell. The space group is Fm-3m.

***

[2]
Density functional theory data (PBE) for a relaxed structure of ScPd2Ru.

POSCAR file:
```
ScPd2Ru
1.0
-1.918 1.918 9.331
1.918 -1.918 9.331
1.918 1.918 -9.331
Sc Pd Ru
2 4 2
direct
0.000 0.000 0.000 Sc
0.750 0.250 0.500 Sc
0.131 0.625 0.006 Pd
0.375 0.381 0.506 Pd
0.619 0.125 0.994 Pd
0.875 0.869 0.494 Pd
0.250 0.750 0.500 Ru
0.500 0.500 0.000 Ru
```

Values from the calculation:
As for the magnetization: 0.000 μB/atom. Its density is 8.68 Mg/m³. For the energy above the lowest structure with this stoichiometry, the calculation gives 379 meV per atom. The density of states at the Fermi level comes out at 5.34 states/eV/cell. The space group is I-42d.

***

[3]
Density functional theory data (PBE) for a relaxed structure of Sc4PdRu2.

POSCAR file:
```
Sc4PdRu2
1.0
2.285 1.319 7.323
-2.285 1.319 7.323
0.000 -2.638 7.323
Sc Pd Ru
4 1 2
direct
0.120 0.120 0.120 Sc
0.371 0.371 0.371 Sc
0.629 0.629 0.629 Sc
0.880 0.880 0.880 Sc
0.500 0.500 0.500 Pd
0.247 0.247 0.247 Ru
0.753 0.753 0.753 Ru
```

Values from the calculation:
As for the magnetization: 0.000 μB/atom. Its density is 6.13 Mg/m³. The density of states at the Fermi level comes out at 2.72 states/eV/cell. The space group is R-3m. The total energy is -7.5903 eV per atom.

***

[4]
Density functional theory data (PBE) for a relaxed structure of ScPd2Ru.

POSCAR file:
```
ScPd2Ru
1.0
3.965 0.000 0.000
0.000 3.965 0.000
0.000 0.000 4.012
Sc Pd Ru
1 2 1
direct
0.000 0.000 0.000 Sc
0.000 0.500 0.500 Pd
0.500 0.000 0.500 Pd
0.500 0.500 0.000 Ru
```

Values from the calculation:
As for the magnetization: 0.000 μB/atom. Its density is 9.45 Mg/m³. For the energy above the lowest structure with this stoichiometry, the calculation gives 0 meV per atom. The density of states at the Fermi level comes out at 4.02 states/eV/cell. The space group is P4/mmm.

***

[5]
Density functional theory data (PBE) for a relaxed structure of ScPdRu2.

POSCAR file:
```
ScPdRu2
1.0
-1.870 1.870 9.695
1.870 -1.870 9.695
1.870 1.870 -9.695
Sc Pd Ru
2 2 4
direct
0.000 0.000 0.000 Sc
0.750 0.250 0.500 Sc
0.250 0.750 0.500 Pd
0.500 0.500 0.000 Pd
0.156 0.625 0.031 Ru
0.375 0.406 0.531 Ru
0.594 0.125 0.969 Ru
0.875 0.844 0.469 Ru
```

Values from the calculation:
As for the magnetization: 0.000 μB/atom. Its density is 8.66 Mg/m³. The density of states at the Fermi level comes out at 10.68 states/eV/cell. The space group is I-42d. The total energy is -7.3853 eV per atom.

***

[6]
Density functional theory data (PBE) for a relaxed structure of Sc3PdRu.

POSCAR file:
```
Sc3PdRu
1.0
4.904 0.000 0.000
0.000 4.904 0.000
0.000 0.000 4.904
Sc Pd Ru
3 1 1
direct
0.000 0.000 0.500 Sc
0.000 0.500 0.000 Sc
0.500 0.000 0.000 Sc
0.000 0.000 0.000 Pd
0.500 0.500 0.500 Ru
```

Values from the calculation:
As for the magnetization: 0.000 μB/atom. Its density is 4.82 Mg/m³. For the energy above the lowest structure with this stoichiometry, the calculation gives 426 meV per atom. The density of states at the Fermi level comes out at 4.99 states/eV/cell. The space group is Pm-3m.

***

[7]
Density functional theory data (PBE) for a relaxed structure of Sc2Pd2Ru.

POSCAR file:
```
Sc2Pd2Ru
1.0
7.122 0.000 0.000
0.000 7.122 0.000
0.000 0.000 3.497
Sc Pd Ru
4 4 2
direct
0.176 0.324 0.000 Sc
0.324 0.824 0.000 Sc
0.676 0.176 0.000 Sc
0.824 0.676 0.000 Sc
0.130 0.630 0.500 Pd
0.370 0.130 0.500 Pd
0.630 0.870 0.500 Pd
0.870 0.370 0.500 Pd
0.000 0.000 0.500 Ru
0.500 0.500 0.500 Ru
```

Values from the calculation:
As for the magnetization: 0.000 μB/atom. Its density is 7.56 Mg/m³. The density of states at the Fermi level comes out at 7.00 states/eV/cell. The space group is P4/mbm. The total energy is -6.9530 eV per atom.

***

[8]
Density functional theory data (PBE) for a relaxed structure of Sc3PdRu.

POSCAR file:
```
Sc3PdRu
1.0
4.905 0.000 0.000
0.000 4.905 0.000
0.000 0.000 4.905
Sc Pd Ru
3 1 1
direct
0.000 0.000 0.500 Sc
0.000 0.500 0.000 Sc
0.500 0.000 0.000 Sc
0.500 0.500 0.500 Pd
0.000 0.000 0.000 Ru
```

Values from the calculation:
As for the magnetization: 0.000 μB/atom. Its density is 4.82 Mg/m³. For the energy above the lowest structure with this stoichiometry, the calculation gives 0 meV per atom. The density of states at the Fermi level comes out at 3.71 states/eV/cell. The space group is Pm-3m.